The following is a DFT calculation (PBE-GGA) of an optimized crystal structure of Er2Ag.

a b c (Å): 6.1287 6.1287 6.1287
angles (deg): 60.00 60.00 60.00
Sites, in units of the cell vectors:
Er: 0.6250 0.6250 0.6250
Er: 0.1250 0.6250 0.6250
Er: 0.6250 0.6250 0.1250
Er: 0.6250 0.1250 0.6250
Ag: 0.0000 0.0000 0.0000
Ag: 0.2500 0.2500 0.2500

Values from the calculation:
Space-group type ... No. 227
VASP energy ... -3.54 eV/atom
Energy of formation ... 447 meV per atom